No. 1
# TiZnSi3

A relaxed TiZnSi3 crystal (PBE, Alexandria via LeMat-Bulk).

Output
Symmetry: Pm-3m, No. 221

```
TiZnSi3
1.0
4.8071 0.0000 0.0000
0.0000 4.8071 0.0000
0.0000 0.0000 4.8071
Ti Zn Si
1 1 3
direct
0.0000 0.0000 0.0000 Ti
0.5000 0.5000 0.5000 Zn
0.0000 0.0000 0.5000 Si
0.0000 0.5000 0.0000 Si
0.5000 0.0000 0.0000 Si
```

No. 2
# TiZn2Si2

A relaxed TiZn2Si2 crystal (PBE, Alexandria via LeMat-Bulk).

Output
Symmetry: I4/mmm, No. 139

```
TiZn2Si2
1.0
-1.8500 1.8500 5.7175
1.8500 -1.8500 5.7175
1.8500 1.8500 -5.7175
Ti Zn Si
1 2 2
direct
0.0000 0.0000 0.0000 Ti
0.2500 0.7500 0.5000 Zn
0.7500 0.2500 0.5000 Zn
0.4005 0.4005 0.0000 Si
0.5995 0.5995 0.0000 Si
```

No. 3
# Ti3ZnSi

A relaxed Ti3ZnSi crystal (PBE, Alexandria via LeMat-Bulk).

Output
Symmetry: Pm-3m, No. 221

```
Ti3ZnSi
1.0
4.6098 0.0000 0.0000
0.0000 4.6098 0.0000
0.0000 0.0000 4.6098
Ti Zn Si
3 1 1
direct
0.0000 0.0000 0.5000 Ti
0.0000 0.5000 0.0000 Ti
0.5000 0.0000 0.0000 Ti
0.5000 0.5000 0.5000 Zn
0.0000 0.0000 0.0000 Si
```

No. 4
# ZrTi2Si

A relaxed ZrTi2Si crystal (PBE, Alexandria via LeMat-Bulk).

Output
Symmetry: P4/mmm, No. 123

```
ZrTi2Si
1.0
4.0913 0.0000 0.0000
0.0000 4.0913 0.0000
0.0000 0.0000 4.0809
Zr Ti Si
1 2 1
direct
0.0000 0.0000 0.0000 Zr
0.0000 0.5000 0.5000 Ti
0.5000 0.0000 0.5000 Ti
0.5000 0.5000 0.0000 Si
```

No. 5
# ZrTi3Si2

A relaxed ZrTi3Si2 crystal (PBE, Alexandria via LeMat-Bulk).

Output
Symmetry: C2/m, No. 12

```
ZrTi3Si2
1.0
7.7585 -1.8397 0.0000
7.7585 1.8397 0.0000
-3.0472 0.0000 7.1446
Zr Ti Si
2 6 4
direct
0.1163 0.1163 0.1390 Zr
0.8837 0.8837 0.8610 Zr
0.0597 0.0597 0.6737 Ti
0.3139 0.3139 0.1021 Ti
0.3494 0.3494 0.5171 Ti
0.6506 0.6506 0.4829 Ti
0.6861 0.6861 0.8979 Ti
0.9403 0.9403 0.3263 Ti
0.2414 0.2414 0.7201 Si
0.4877 0.4877 0.1495 Si
0.5123 0.5123 0.8505 Si
0.7586 0.7586 0.2799 Si
```

No. 6
# Zr3Ti2Si3

A relaxed Zr3Ti2Si3 crystal (PBE, Alexandria via LeMat-Bulk).

Output
Symmetry: P6_3/mcm, No. 193

```
Zr3Ti2Si3
1.0
7.8099 0.0000 0.0000
-3.9049 6.7636 0.0000
0.0000 0.0000 5.3221
Zr Ti Si
6 4 6
direct
0.0000 0.2513 0.2500 Zr
0.0000 0.7487 0.7500 Zr
0.2513 0.0000 0.2500 Zr
0.2513 0.2513 0.7500 Zr
0.7487 0.0000 0.7500 Zr
0.7487 0.7487 0.2500 Zr
0.3333 0.6667 0.0000 Ti
0.3333 0.6667 0.5000 Ti
0.6667 0.3333 0.0000 Ti
0.6667 0.3333 0.5000 Ti
0.0000 0.3985 0.7500 Si
0.0000 0.6015 0.2500 Si
0.3985 0.0000 0.7500 Si
0.3985 0.3985 0.2500 Si
0.6015 0.0000 0.2500 Si
0.6015 0.6015 0.7500 Si
```

No. 7
# ZrTi3Si

A relaxed ZrTi3Si crystal (PBE, Alexandria via LeMat-Bulk).

Output
Symmetry: Pm-3m, No. 221

```
ZrTi3Si
1.0
4.6643 0.0000 0.0000
0.0000 4.6643 0.0000
0.0000 0.0000 4.6643
Zr Ti Si
1 3 1
direct
0.0000 0.0000 0.0000 Zr
0.0000 0.5000 0.5000 Ti
0.5000 0.0000 0.5000 Ti
0.5000 0.5000 0.0000 Ti
0.5000 0.5000 0.5000 Si
```

No. 8
# ZrTiSi2

A relaxed ZrTiSi2 crystal (PBE, Alexandria via LeMat-Bulk).

Output
Symmetry: R-3m, No. 166

```
ZrTiSi2
1.0
1.8876 1.0898 5.8383
-1.8876 1.0898 5.8383
0.0000 -2.1796 5.8383
Zr Ti Si
1 1 2
direct
0.0000 0.0000 0.0000 Zr
0.5000 0.5000 0.5000 Ti
0.2431 0.2431 0.2431 Si
0.7569 0.7569 0.7569 Si
```

No. 9
# ZrTiSi2

A relaxed ZrTiSi2 crystal (PBE, Alexandria via LeMat-Bulk).

Output
Symmetry: Fm-3m, No. 225

```
ZrTiSi2
1.0
0.0000 3.2252 3.2252
3.2252 0.0000 3.2252
3.2252 3.2252 0.0000
Zr Ti Si
1 1 2
direct
0.0000 0.0000 0.0000 Zr
0.5000 0.5000 0.5000 Ti
0.2500 0.2500 0.2500 Si
0.7500 0.7500 0.7500 Si
```

No. 10
# ZrTi3Si

A relaxed ZrTi3Si crystal (PBE, Alexandria via LeMat-Bulk).

Output
Symmetry: Pm-3m, No. 221

```
ZrTi3Si
1.0
4.7531 0.0000 0.0000
0.0000 4.7531 0.0000
0.0000 0.0000 4.7531
Zr Ti Si
1 3 1
direct
0.0000 0.0000 0.0000 Zr
0.0000 0.0000 0.5000 Ti
0.0000 0.5000 0.0000 Ti
0.5000 0.0000 0.0000 Ti
0.5000 0.5000 0.5000 Si
```

No. 11
# Zr2Ti3Si4

A relaxed Zr2Ti3Si4 crystal (PBE, Alexandria via LeMat-Bulk).

Output
Symmetry: P2_1/c, No. 14

```
Zr2Ti3Si4
1.0
6.8406 0.0000 0.0000
0.0000 6.8308 0.0000
-2.1740 0.0000 6.2870
Zr Ti Si
4 6 8
direct
0.1914 0.1718 0.0647 Zr
0.1914 0.3282 0.5647 Zr
0.8086 0.6718 0.4353 Zr
0.8086 0.8282 0.9353 Zr
0.2515 0.6768 0.2461 Ti
0.2515 0.8232 0.7461 Ti
0.5000 0.0000 0.5000 Ti
0.5000 0.5000 0.0000 Ti
0.7485 0.1768 0.2539 Ti
0.7485 0.3232 0.7539 Ti
0.0788 0.5361 0.8592 Si
0.0788 0.9639 0.3592 Si
0.4930 0.1258 0.8692 Si
0.4930 0.3742 0.3692 Si
0.5070 0.6258 0.6308 Si
0.5070 0.8742 0.1308 Si
0.9212 0.0361 0.6408 Si
0.9212 0.4639 0.1408 Si
```

| no. | uncorrected formation energy (meV/atom) | DOS at the Fermi energy (states/eV/f.u.) |
| --- | --- | --- |
| 1 | 672 | 2.74 |
| 2 | 71 | 3.24 |
| 3 | 256 | 3.14 |
| 4 | -379 | 4.02 |
| 5 | -578 | 6.07 |
| 6 | -852 | 2.82 |
| 7 | 231 | 7.35 |
| 8 | -562 | 0.55 |
| 9 | -269 | 6.02 |
| 10 | 1281 | 6.04 |
| 11 | -920 | 5.99 |